Entry 1:
{"formula": "CaPrH6Pd2", "functional": "PBE", "state": "relaxed", "volume_a3_per_atom": 11.34, "mass_density_g_cm3": 5.9, "lattice": [[-4.4096, 1.3779, 1.3583], [-1.1136, 0.2384, 4.6789], [-0.1191, 5.9155, 2.1482]], "species": ["Ca", "Pr", "H", "H", "H", "H", "H", "H", "Pd", "Pd"], "fractional_positions": [[0.5000, 0.5000, 0.5000], [0.0000, 0.0000, 0.0000], [0.0534, 0.5608, 0.8248], [0.5610, 0.0534, 0.8248], [0.4392, 0.4390, 0.1752], [0.9466, 0.4392, 0.1752], [0.4390, 0.9466, 0.1752], [0.5608, 0.5610, 0.8248], [0.7854, 0.7854, 0.6439], [0.2146, 0.2146, 0.3561]]}



Entry 2:
{"formula": "Ca2HPd6Pt", "functional": "PBE", "state": "relaxed", "volume_a3_per_atom": 17.33, "mass_density_g_cm3": 8.8, "lattice": [[5.5460, 0.0353, -0.0297], [-0.0514, 7.1647, -1.1418], [2.7760, 2.7864, 3.9058]], "species": ["Ca", "Ca", "H", "Pd", "Pd", "Pd", "Pd", "Pd", "Pd", "Pt"], "fractional_positions": [[0.7886, 0.3667, 0.4226], [0.2114, 0.6333, 0.5774], [0.0000, 0.0000, 0.0000], [0.2264, 0.1738, 0.5472], [0.7739, 0.8270, 0.9455], [0.2808, 0.8270, 0.9455], [0.7192, 0.1730, 0.0545], [0.2261, 0.1730, 0.0545], [0.7736, 0.8262, 0.4528], [0.5000, 0.5000, 0.0000]]}



Entry 3:
{"formula": "CaHPd2Pt", "functional": "PBE", "state": "relaxed", "volume_a3_per_atom": 14.43, "mass_density_g_cm3": 10.3, "lattice": [[-3.6226, -2.1321, -0.5440], [1.9379, -3.5878, 1.1565], [-0.9877, 0.7011, 3.8300]], "species": ["H", "Ca", "Pd", "Pd", "Pt"], "fractional_positions": [[0.0000, 0.0000, 0.0000], [0.5000, 0.5000, 0.5000], [0.0000, 0.5000, 0.0000], [0.5000, 0.0000, 0.0000], [0.0000, 0.0000, 0.5000]]}



Entry 4:
{"formula": "Ca3HPd3Pt2", "functional": "PBE", "state": "relaxed", "volume_a3_per_atom": 18.43, "mass_density_g_cm3": 8.3, "lattice": [[-1.3506, 0.6272, -3.6352], [1.6252, -6.5658, -1.7367], [-6.3145, 1.4634, 2.5985]], "species": ["Ca", "Ca", "Ca", "H", "Pd", "Pd", "Pd", "Pt", "Pt"], "fractional_positions": [[0.0000, 0.0000, 0.3770], [0.0000, 0.6230, 0.6230], [0.0000, 0.3770, 0.0000], [0.0000, 0.0000, 0.0000], [0.5000, 0.7736, 0.0000], [0.5000, 0.2264, 0.2264], [0.5000, 0.0000, 0.7736], [0.5000, 0.3333, 0.6667], [0.5000, 0.6667, 0.3333]]}



Entry 5:
{"formula": "CaHPd2Pt", "functional": "PBE", "state": "relaxed", "volume_a3_per_atom": 14.44, "mass_density_g_cm3": 10.3, "lattice": [[-3.4316, 1.8971, -0.9341], [-1.8000, -1.6861, 3.1882], [1.2231, 3.4510, 2.5157]], "species": ["H", "Ca", "Pd", "Pd", "Pt"], "fractional_positions": [[0.0000, 0.0000, 0.0000], [0.0000, 0.0000, 0.5000], [0.0000, 0.5000, 0.0000], [0.5000, 0.0000, 0.0000], [0.5000, 0.5000, 0.5000]]}



Entry 6:
{"formula": "Ca2HPdPt", "functional": "PBE", "state": "relaxed", "volume_a3_per_atom": 18.19, "mass_density_g_cm3": 7.0, "lattice": [[-2.0933, 0.9034, 4.5231], [-4.6124, -0.3853, -2.0577], [-0.0160, -3.4775, 0.6871]], "species": ["H", "Ca", "Ca", "Pd", "Pt"], "fractional_positions": [[0.0000, 0.0000, 0.0000], [0.0000, 0.5000, 0.0000], [0.5000, 0.0000, 0.0000], [0.5000, 0.5000, 0.5000], [0.0000, 0.0000, 0.5000]]}



Entry 7:
{"formula": "CaHPdPt2", "functional": "PBE", "state": "relaxed", "volume_a3_per_atom": 14.43, "mass_density_g_cm3": 12.4, "lattice": [[-2.2347, -2.9639, 1.5120], [3.2699, -1.6195, 1.6582], [-0.6895, 2.4183, 3.7215]], "species": ["H", "Ca", "Pd", "Pt", "Pt"], "fractional_positions": [[0.0000, 0.0000, 0.0000], [0.0000, 0.0000, 0.5000], [0.5000, 0.5000, 0.5000], [0.0000, 0.5000, 0.0000], [0.5000, 0.0000, 0.0000]]}



Entry 8:
{"formula": "CaHPdPt2", "functional": "PBE", "state": "relaxed", "volume_a3_per_atom": 14.42, "mass_density_g_cm3": 12.4, "lattice": [[4.0917, 0.0000, 0.0000], [0.0000, 4.0917, 0.0000], [0.0000, 0.0000, 4.3065]], "species": ["H", "Ca", "Pd", "Pt", "Pt"], "fractional_positions": [[0.0000, 0.0000, 0.0000], [0.5000, 0.5000, 0.5000], [0.0000, 0.0000, 0.5000], [0.0000, 0.5000, 0.0000], [0.5000, 0.0000, 0.0000]]}



| no. | density of states at the Fermi level (states/eV/f.u.) | DFT total energy (eV/atom) |
| --- | --- | --- |
| 1 | 2.79 | -4.054 |
| 2 | 6.12 | -4.909 |
| 3 | 3.17 | -4.853 |
| 4 | 3.06 | -4.677 |
| 5 | 2.94 | -4.802 |
| 6 | 0.84 | -4.427 |
| 7 | 4.70 | -4.988 |
| 8 | 4.61 | -5.008 |